The following is a DFT calculation (GGA+U) of Tm2ScMoO8 after structural relaxation.

Calculated values
As for the density of states at the Fermi level: 8.031 states/eV/f.u. The value obtained for the total magnetic moment is 0.9 μB per formula unit. The calculated total energy is -188.37 eV/cell. Its calculated density is 6.25 Mg/m³.

a = 6.9193 Å, b = 7.0986 Å, c = 6.5686 Å
α = 90.00°, β = 90.00°, γ = 90.00°
Space group Cmmm (No. 65)
One atom of each set of equivalent atoms:
Tm 0.0000 0.0000 0.2461 (multiplicity 4)
Sc 0.0000 0.5000 0.0000 (multiplicity 2)
Mo 0.0000 0.5000 0.5000 (multiplicity 2)
O 0.0000 0.3170 0.2770 (multiplicity 8)
O 0.2053 0.0000 0.0000 (multiplicity 4)
O 0.2204 0.0000 0.5000 (multiplicity 4)